# 1
# Ca4LaPb15 PBE relaxed
data_Ca4LaPb15
_cell_length_a 4.939
_cell_length_b 4.939
_cell_length_c 24.791
_cell_angle_alpha 90.00
_cell_angle_beta 90.00
_cell_angle_gamma 90.00
_symmetry_space_group_name_H-M 'P 1'
_symmetry_Int_Tables_number 1
loop_
_symmetry_equiv_pos_as_xyz
'x,y,z'
loop_
_atom_site_label
_atom_site_fract_x
_atom_site_fract_y
_atom_site_fract_z
La1 0.000 0.000 0.000
Ca1 0.000 0.000 0.800
Ca2 0.000 0.000 0.600
Ca3 0.000 0.000 0.200
Ca4 0.000 0.000 0.400
Pb1 0.500 0.500 0.400
Pb2 0.500 0.500 0.201
Pb3 0.500 0.000 0.301
Pb4 0.000 0.500 0.102
Pb5 0.000 0.500 0.301
Pb6 0.000 0.500 0.898
Pb7 0.000 0.500 0.699
Pb8 0.000 0.500 0.500
Pb9 0.500 0.000 0.699
Pb10 0.500 0.000 0.102
Pb11 0.500 0.500 0.000
Pb12 0.500 0.000 0.898
Pb13 0.500 0.000 0.500
Pb14 0.500 0.500 0.799
Pb15 0.500 0.500 0.600
# total energy = -3.77 eV per atom
# calculated formation energy = -0.342 eV per atom
# DOS at the Fermi energy = 7.86 states/eV per cell
# volume = 30.2 Å³ per atom



# 2
# Ba4PrYCu8O16 PBE relaxed
data_Ba4PrYCu8O16
_cell_length_a 3.917
_cell_length_b 7.814
_cell_length_c 13.975
_cell_angle_alpha 81.96
_cell_angle_beta 90.00
_cell_angle_gamma 90.00
_symmetry_space_group_name_H-M 'P 1'
_symmetry_Int_Tables_number 1
loop_
_symmetry_equiv_pos_as_xyz
'x,y,z'
loop_
_atom_site_label
_atom_site_fract_x
_atom_site_fract_y
_atom_site_fract_z
O1 0.000 0.109 0.562
O2 0.000 0.677 0.291
O3 0.000 0.822 0.709
O4 0.000 0.891 0.438
O5 0.000 0.028 0.888
O6 0.000 0.526 0.897
O7 0.000 0.972 0.112
O8 0.500 0.231 0.108
O9 0.000 0.323 0.709
O10 0.500 0.769 0.892
O11 0.500 0.715 0.108
O12 0.000 0.390 0.438
O13 0.000 0.610 0.562
O14 0.500 0.285 0.892
O15 0.000 0.178 0.291
O16 0.000 0.474 0.103
Y1 0.500 0.500 0.000
Ba1 0.500 0.068 0.726
Ba2 0.500 0.932 0.274
Ba3 0.500 0.568 0.728
Ba4 0.500 0.432 0.272
Cu1 0.000 0.144 0.425
Cu2 0.000 0.284 0.874
Cu3 0.000 0.779 0.873
Cu4 0.000 0.716 0.126
Cu5 0.000 0.856 0.575
Cu6 0.000 0.644 0.425
Cu7 0.000 0.221 0.127
Cu8 0.000 0.356 0.575
Pr1 0.500 0.000 0.000
# total energy = -6.01 eV per atom
# DOS at the Fermi energy = 9.57 states/eV per cell
# volume = 14.1 Å³ per atom
# E_form (uncorrected) = -49.343 eV per formula unit